[1]
Below is a relaxed structure of Ca8Ga2Cu, with properties calculated at the GGA-PBE level.

Results
- Calculated volume: 30.87 Å³ per atom
- Energy relative to the lowest polymorph listed for this composition: 0.000 eV/atom
- Calculated formation energy: -2.17 eV/f.u.

Cell lengths 9.7120, 9.7120, 7.2631 Å; angles 107.15, 107.15, 31.38 degrees
Fractional coordinates of all 11 atoms:
Ca  0.0300  0.0300  0.2917
Ca  0.2061  0.2061  0.8097
Ca  0.3360  0.3360  0.5392
Ca  0.4038  0.4038  0.0564
Ca  0.5962  0.5962  0.9436
Ca  0.6640  0.6640  0.4608
Ca  0.7939  0.7939  0.1903
Ca  0.9700  0.9700  0.7083
Ga  0.1831  0.1831  0.2087
Ga  0.8169  0.8169  0.7913
Cu  0.5000  0.5000  0.5000

---

[2]
Below is a relaxed structure of CaGa4Cu9, with properties calculated at the GGA-PBE level.

Results
- Calculated volume: 14.67 Å³ per atom
- Calculated formation energy: -2.56 eV/f.u.

Cell lengths 8.3817, 8.3817, 8.3817 Å; angles 120.87, 120.87, 88.51 degrees
Fractional coordinates of all 28 atoms:
Ca  0.2500  0.2500  0.0000
Ca  0.7500  0.7500  0.0000
Ga  0.0585  0.5585  0.8609
Ga  0.1976  0.0585  0.5000
Ga  0.3024  0.8024  0.8609
Ga  0.4415  0.3024  0.5000
Ga  0.5585  0.6976  0.5000
Ga  0.6976  0.1976  0.1391
Ga  0.8024  0.9415  0.5000
Ga  0.9415  0.4415  0.1391
Cu  0.0000  0.5000  0.5000
Cu  0.0623  0.7956  0.5000
Cu  0.0628  0.2025  0.2654
Cu  0.2025  0.9372  0.1397
Cu  0.2044  0.7044  0.2667
Cu  0.2956  0.5623  0.5000
Cu  0.2975  0.4372  0.7346
Cu  0.4372  0.7025  0.1397
Cu  0.4377  0.9377  0.7333
Cu  0.5000  0.0000  0.5000
Cu  0.5623  0.0623  0.2667
Cu  0.5628  0.2975  0.8603
Cu  0.7025  0.5628  0.2654
Cu  0.7044  0.4377  0.5000
Cu  0.7956  0.2956  0.7333
Cu  0.7975  0.0628  0.8603
Cu  0.9372  0.7975  0.7346
Cu  0.9377  0.2044  0.5000

---

[3]
Below is a relaxed structure of Ca3GaCu3, with properties calculated at the GGA-PBE level.

Results
- Calculated volume: 22.39 Å³ per atom
- Calculated formation energy: -1.59 eV/f.u.

Cell lengths 5.8489, 5.8489, 14.4085 Å; angles 108.81, 108.81, 42.66 degrees
Fractional coordinates of all 14 atoms:
Ca  0.0268  0.0268  0.3828
Ca  0.1062  0.1062  0.9226
Ca  0.2478  0.2478  0.2319
Ca  0.7522  0.7522  0.7681
Ca  0.8938  0.8938  0.0774
Ca  0.9732  0.9732  0.6172
Ga  0.2555  0.2555  0.5949
Ga  0.7445  0.7445  0.4051
Cu  0.3707  0.3707  0.4611
Cu  0.4050  0.4050  0.9216
Cu  0.4501  0.4501  0.7639
Cu  0.5499  0.5499  0.2361
Cu  0.5950  0.5950  0.0784
Cu  0.6293  0.6293  0.5389

---

[4]
Below is a relaxed structure of Ca3Ga2Cu, with properties calculated at the GGA-PBE level.

Results
- Calculated volume: 25.88 Å³ per atom
- Calculated formation energy: -2.06 eV/f.u.

Cell lengths 12.1691, 4.3606, 11.7065 Å; angles 90.00, 90.00, 90.00 degrees
Fractional coordinates of all 24 atoms:
Ca  0.0532  0.2500  0.1219
Ca  0.1138  0.7500  0.5651
Ca  0.2080  0.2500  0.8081
Ca  0.2920  0.7500  0.3080
Ca  0.3862  0.2500  0.0651
Ca  0.4468  0.7500  0.6219
Ca  0.5532  0.2500  0.3781
Ca  0.6138  0.7500  0.9349
Ca  0.7080  0.2500  0.6919
Ca  0.7920  0.7500  0.1920
Ca  0.8862  0.2500  0.4349
Ca  0.9468  0.7500  0.8781
Ga  0.0360  0.7500  0.3089
Ga  0.2044  0.7500  0.0072
Ga  0.2956  0.2500  0.5072
Ga  0.4640  0.2500  0.8089
Ga  0.5360  0.7500  0.1911
Ga  0.7044  0.7500  0.4928
Ga  0.7956  0.2500  0.9928
Ga  0.9640  0.2500  0.6911
Cu  0.1262  0.2500  0.3758
Cu  0.3738  0.7500  0.8758
Cu  0.6262  0.2500  0.1242
Cu  0.8738  0.7500  0.6242

---

[5]
Below is a relaxed structure of CaGa2Cu4, with properties calculated at the GGA-PBE level.

Results
- Calculated volume: 15.73 Å³ per atom
- Energy relative to the lowest polymorph listed for this composition: 0.000 eV/atom
- Calculated formation energy: -1.47 eV/f.u.

Cell lengths 7.3787, 7.3787, 4.0457 Å; angles 90.00, 90.00, 90.00 degrees
Fractional coordinates of all 14 atoms:
Ca  0.0000  0.0000  0.0000
Ca  0.5000  0.5000  0.5000
Ga  0.2157  0.2157  0.5000
Ga  0.2843  0.7157  0.0000
Ga  0.7157  0.2843  0.0000
Ga  0.7843  0.7843  0.5000
Cu  0.0943  0.6463  0.5000
Cu  0.1463  0.4057  0.0000
Cu  0.3537  0.9057  0.5000
Cu  0.4057  0.1463  0.0000
Cu  0.5943  0.8537  0.0000
Cu  0.6463  0.0943  0.5000
Cu  0.8537  0.5943  0.0000
Cu  0.9057  0.3537  0.5000

---

[6]
Below is a relaxed structure of Ca3Ga3Cu, with properties calculated at the GGA-PBE level.

Results
- Calculated volume: 23.87 Å³ per atom
- Calculated formation energy: -2.86 eV/f.u.

Cell lengths 5.9375, 5.9375, 14.8017 Å; angles 108.78, 108.78, 43.05 degrees
Fractional coordinates of all 14 atoms:
Ca  0.0264  0.0264  0.3854
Ca  0.1082  0.1082  0.9220
Ca  0.2491  0.2491  0.2324
Ca  0.7509  0.7509  0.7676
Ca  0.8918  0.8918  0.0780
Ca  0.9736  0.9736  0.6146
Ga  0.3452  0.3452  0.4581
Ga  0.3953  0.3953  0.9212
Ga  0.4554  0.4554  0.7616
Ga  0.5446  0.5446  0.2384
Ga  0.6047  0.6047  0.0788
Ga  0.6548  0.6548  0.5419
Cu  0.2603  0.2603  0.6039
Cu  0.7397  0.7397  0.3961

---

[7]
Below is a relaxed structure of Ca2Ga5Cu3, with properties calculated at the GGA-PBE level.

Results
- Calculated volume: 18.89 Å³ per atom
- Energy relative to the lowest polymorph listed for this composition: 0.016 eV/atom
- Calculated formation energy: -2.98 eV/f.u.

Cell lengths 4.2964, 4.2964, 10.2354 Å; angles 90.00, 90.00, 90.00 degrees
Fractional coordinates of all 10 atoms:
Ca  0.0000  0.5000  0.2365
Ca  0.5000  0.0000  0.7635
Ga  0.0000  0.0000  0.5000
Ga  0.0000  0.5000  0.6532
Ga  0.5000  0.0000  0.3468
Ga  0.5000  0.5000  0.0000
Ga  0.5000  0.5000  0.5000
Cu  0.0000  0.0000  0.0000
Cu  0.0000  0.5000  0.8865
Cu  0.5000  0.0000  0.1135

---

[8]
Below is a relaxed structure of CaGa2Cu2, with properties calculated at the GGA-PBE level.

Results
- Calculated volume: 18.10 Å³ per atom
- Calculated formation energy: -1.42 eV/f.u.

Cell lengths 6.0369, 6.0369, 6.0369 Å; angles 139.89, 139.89, 58.02 degrees
Fractional coordinates of all 5 atoms:
Ca  0.0000  0.0000  0.0000
Ga  0.2500  0.7500  0.5000
Ga  0.7500  0.2500  0.5000
Cu  0.3842  0.3842  0.0000
Cu  0.6158  0.6158  0.0000

---

[9]
Below is a relaxed structure of CaGdGaCu, with properties calculated at the GGA-PBE level.

Results
- Calculated volume: 23.04 Å³ per atom
- Calculated formation energy: -1.30 eV/f.u.

Cell lengths 5.0701, 5.0701, 5.0701 Å; angles 60.00, 60.00, 60.00 degrees
Fractional coordinates of all 4 atoms:
Ca  0.0000  0.0000  0.0000
Gd  0.5000  0.5000  0.5000
Ga  0.2500  0.2500  0.2500
Cu  0.7500  0.7500  0.7500

---

[10]
Below is a relaxed structure of Ca2GaCu4Ge3, with properties calculated at the GGA-PBE level.

Results
- Calculated volume: 17.73 Å³ per atom
- Calculated formation energy: -3.52 eV/f.u.

Cell lengths 4.1474, 4.1474, 10.3083 Å; angles 90.00, 90.00, 90.00 degrees
Fractional coordinates of all 10 atoms:
Ca  0.0000  0.5000  0.2431
Ca  0.5000  0.0000  0.7569
Ga  0.0000  0.0000  0.5000
Cu  0.0000  0.0000  0.0000
Cu  0.0000  0.5000  0.6358
Cu  0.5000  0.0000  0.3642
Cu  0.5000  0.5000  0.0000
Ge  0.0000  0.5000  0.8695
Ge  0.5000  0.0000  0.1305
Ge  0.5000  0.5000  0.5000

---

[11]
Below is a relaxed structure of Ca2GaCu3Ge4, with properties calculated at the GGA-PBE level.

Results
- Calculated volume: 18.24 Å³ per atom
- Calculated formation energy: -3.63 eV/f.u.

Cell lengths 4.0996, 4.0996, 10.8501 Å; angles 90.00, 90.00, 90.00 degrees
Fractional coordinates of all 10 atoms:
Ca  0.0000  0.5000  0.2474
Ca  0.5000  0.0000  0.7526
Ga  0.0000  0.0000  0.5000
Cu  0.0000  0.5000  0.8644
Cu  0.5000  0.0000  0.1356
Cu  0.5000  0.5000  0.5000
Ge  0.0000  0.0000  0.0000
Ge  0.0000  0.5000  0.6429
Ge  0.5000  0.0000  0.3571
Ge  0.5000  0.5000  0.0000

---

[12]
Below is a relaxed structure of CaGa2Cu4Ge, with properties calculated at the GGA-PBE level.

Results
- Calculated volume: 16.91 Å³ per atom
- Calculated formation energy: -0.93 eV/f.u.

Cell lengths 9.3123, 9.3123, 9.3123 Å; angles 25.86, 25.86, 25.86 degrees
Fractional coordinates of all 8 atoms:
Ca  0.0000  0.0000  0.0000
Ga  0.2550  0.2550  0.2550
Ga  0.7450  0.7450  0.7450
Cu  0.1225  0.1225  0.1225
Cu  0.4100  0.4100  0.4100
Cu  0.5900  0.5900  0.5900
Cu  0.8775  0.8775  0.8775
Ge  0.5000  0.5000  0.5000

---

[13]
Below is a relaxed structure of Ca2Ga3CuGe4, with properties calculated at the GGA-PBE level.

Results
- Calculated volume: 20.64 Å³ per atom
- Calculated formation energy: -2.66 eV/f.u.

Cell lengths 4.4938, 4.4938, 10.2212 Å; angles 90.00, 90.00, 90.00 degrees
Fractional coordinates of all 10 atoms:
Ca  0.0000  0.5000  0.2358
Ca  0.5000  0.0000  0.7642
Ga  0.0000  0.0000  0.0000
Ga  0.0000  0.5000  0.6324
Ga  0.5000  0.0000  0.3676
Cu  0.5000  0.5000  0.0000
Ge  0.0000  0.0000  0.5000
Ge  0.0000  0.5000  0.8751
Ge  0.5000  0.0000  0.1249
Ge  0.5000  0.5000  0.5000

---

[14]
Below is a relaxed structure of Ca2GaCuH, with properties calculated at the GGA-PBE level.

Results
- Calculated volume: 18.84 Å³ per atom
- E: -3.20 eV/atom

Cell lengths 5.0523, 5.0523, 3.6895 Å; angles 90.00, 90.00, 90.00 degrees
Fractional coordinates of all 5 atoms:
Ca  0.0000  0.5000  0.0000
Ca  0.5000  0.0000  0.0000
Ga  0.0000  0.0000  0.5000
Cu  0.5000  0.5000  0.5000
H  0.5000  0.5000  0.0000

---

[15]
Below is a relaxed structure of CaHoGaCu, with properties calculated at the GGA-PBE level.

Results
- Calculated volume: 22.40 Å³ per atom
- Calculated formation energy: -1.31 eV/f.u.

Cell lengths 5.0226, 5.0226, 5.0226 Å; angles 60.00, 60.00, 60.00 degrees
Fractional coordinates of all 4 atoms:
Ca  0.0000  0.0000  0.0000
Ho  0.5000  0.5000  0.5000
Ga  0.2500  0.2500  0.2500
Cu  0.7500  0.7500  0.7500

---

[16]
Below is a relaxed structure of CaGa4Cu2Ir, with properties calculated at the GGA-PBE level.

Results
- Calculated volume: 17.56 Å³ per atom
- Calculated formation energy: -2.25 eV/f.u.

Cell lengths 9.5464, 9.5464, 9.5464 Å; angles 25.36, 25.36, 25.36 degrees
Fractional coordinates of all 8 atoms:
Ca  0.0000  0.0000  0.0000
Ga  0.1307  0.1307  0.1307
Ga  0.4029  0.4029  0.4029
Ga  0.5971  0.5971  0.5971
Ga  0.8693  0.8693  0.8693
Cu  0.2317  0.2317  0.2317
Cu  0.7683  0.7683  0.7683
Ir  0.5000  0.5000  0.5000

---

[17]
Below is a relaxed structure of CaGa3CuIr, with properties calculated at the GGA-PBE level.

Results
- Calculated volume: 19.64 Å³ per atom
- Calculated formation energy: -1.37 eV/f.u.

Cell lengths 6.9391, 6.9391, 5.9058 Å; angles 90.00, 90.00, 124.04 degrees
Fractional coordinates of all 12 atoms:
Ca  0.2360  0.7640  0.7500
Ca  0.7640  0.2360  0.2500
Ga  0.1921  0.1921  0.0000
Ga  0.1921  0.1921  0.5000
Ga  0.3306  0.6694  0.2500
Ga  0.6694  0.3306  0.7500
Ga  0.8079  0.8079  0.0000
Ga  0.8079  0.8079  0.5000
Cu  0.1381  0.8619  0.2500
Cu  0.8619  0.1381  0.7500
Ir  0.4734  0.5266  0.7500
Ir  0.5266  0.4734  0.2500

---

[18]
Below is a relaxed structure of Ca2Ga5Cu2Ir, with properties calculated at the GGA-PBE level.

Results
- Calculated volume: 17.80 Å³ per atom
- Calculated formation energy: -2.69 eV/f.u.

Cell lengths 9.4025, 9.4025, 4.0265 Å; angles 90.00, 90.00, 90.00 degrees
Fractional coordinates of all 20 atoms:
Ca  0.1874  0.3126  0.0000
Ca  0.3126  0.8126  0.0000
Ca  0.6874  0.1874  0.0000
Ca  0.8126  0.6874  0.0000
Ga  0.0000  0.5000  0.5000
Ga  0.0511  0.8039  0.5000
Ga  0.1961  0.0511  0.5000
Ga  0.3039  0.5511  0.5000
Ga  0.4489  0.3039  0.5000
Ga  0.5000  0.0000  0.5000
Ga  0.5511  0.6961  0.5000
Ga  0.6961  0.4489  0.5000
Ga  0.8039  0.9489  0.5000
Ga  0.9489  0.1961  0.5000
Cu  0.1061  0.6061  0.0000
Cu  0.3939  0.1061  0.0000
Cu  0.6061  0.8939  0.0000
Cu  0.8939  0.3939  0.0000
Ir  0.0000  0.0000  0.0000
Ir  0.5000  0.5000  0.0000

---

[19]
Below is a relaxed structure of CaGa4CuIr2, with properties calculated at the GGA-PBE level.

Results
- Calculated volume: 17.39 Å³ per atom
- Calculated formation energy: -3.03 eV/f.u.

Cell lengths 9.1755, 9.1755, 9.1755 Å; angles 26.87, 26.87, 26.87 degrees
Fractional coordinates of all 8 atoms:
Ca  0.0000  0.0000  0.0000
Ga  0.1319  0.1319  0.1319
Ga  0.4021  0.4021  0.4021
Ga  0.5979  0.5979  0.5979
Ga  0.8681  0.8681  0.8681
Cu  0.5000  0.5000  0.5000
Ir  0.2311  0.2311  0.2311
Ir  0.7689  0.7689  0.7689

---

[20]
Below is a relaxed structure of CaLaGa2Cu2, with properties calculated at the GGA-PBE level.

Results
- Calculated volume: 21.95 Å³ per atom
- Calculated formation energy: -2.35 eV/f.u.

Cell lengths 4.3383, 4.3383, 8.0818 Å; angles 90.00, 90.00, 120.00 degrees
Fractional coordinates of all 6 atoms:
Ca  0.0000  0.0000  0.0000
La  0.0000  0.0000  0.5000
Ga  0.3333  0.6667  0.7515
Ga  0.6667  0.3333  0.2485
Cu  0.3333  0.6667  0.2420
Cu  0.6667  0.3333  0.7580

---

[21]
Below is a relaxed structure of CaLaGa2Cu, with properties calculated at the GGA-PBE level.

Results
- Calculated volume: 27.79 Å³ per atom
- Calculated formation energy: 1.71 eV/f.u.

Cell lengths 5.3262, 5.3262, 4.8986 Å; angles 90.00, 90.00, 90.00 degrees
Fractional coordinates of all 5 atoms:
Ca  0.0000  0.0000  0.0000
La  0.5000  0.5000  0.5000
Ga  0.0000  0.5000  0.0000
Ga  0.5000  0.0000  0.0000
Cu  0.0000  0.0000  0.5000